! CsWN2F (PBE with a Hubbard U, optimized geometry); values from VASP
! - energy above the lowest structure with this stoichiometry (eV/atom) = 0.289
! - symmetry = P4/mmm, No. 123
! - raw total energy (eV for the cell shown) = -27.56
&SYSTEM
  ibrav = 0, nat = 5, ntyp = 4
/
ATOMIC_SPECIES
Cs 132.91 Cs.upf
N 14.01 N.upf
W 183.84 W.upf
F 19.00 F.upf
CELL_PARAMETERS angstrom
3.900 0.000 0.000
0.000 6.708 0.000
0.000 0.000 3.900
ATOMIC_POSITIONS angstrom
Cs 0.000 3.354 0.000
N 0.000 0.000 1.950
N 1.950 0.000 0.000
W 0.000 0.000 0.000
F 1.950 3.354 1.950